Entry 1:
Mg3Si3Rh2: relaxed, PBE.

It has space group Pnma (No. 62), with a = 7.131 Å, b = 14.523 Å, c = 5.211 Å, α = 90.00°, β = 90.00° and γ = 90.00°. The asymmetric unit holds Mg at (0.028, 0.118, 0.106), Mg at (0.187, 0.250, 0.616), Si at (0.163, 0.750, 0.625), Si at (0.182, 0.033, 0.607) and Rh at (0.113, 0.609, 0.394).

As for the total energy: -4.97 eV per atom. The uncorrected formation energy is -0.502 eV per atom.

***

Entry 2:
TlCrPb2: relaxed, PBE.

It has space group Pm (No. 6), with a = 3.561 Å, b = 4.499 Å, c = 6.990 Å, α = 90.00°, β = 104.67° and γ = 90.00°. The asymmetric unit holds Tl at (0.000, 0.000, 0.000), Cr at (0.149, 0.500, 0.294), Pb at (0.374, 0.500, 0.746) and Pb at (0.720, 0.000, 0.438).

For the formation energy, the calculation gives 404 meV/atom. The energy above the most stable polymorph in this dataset comes out at 113 meV/atom. As for the total energy: -4.45 eV per atom.

***

Entry 3:
Hf2MnAg2Se6: relaxed, PBE.

It has space group C2/m (No. 12), with a = 6.624 Å, b = 11.639 Å, c = 7.331 Å, α = 90.00°, β = 111.35° and γ = 90.00°. The asymmetric unit holds Hf at (0.000, 0.169, 0.000), Mn at (0.000, 0.500, 0.000), Ag at (0.000, 0.329, 0.500), Se at (0.242, 0.168, 0.774) and Se at (0.243, 0.500, 0.779).

As for the total energy: -5.82 eV per atom. The uncorrected formation energy is -0.759 eV per atom.

***

Entry 4:
NbCoP3: relaxed, PBE.

It has space group Pm-3m (No. 221), with a = 4.312 Å, b = 4.312 Å, c = 4.312 Å, α = 90.00°, β = 90.00° and γ = 90.00°. The asymmetric unit holds Nb at (0.000, 0.000, 0.000), Co at (0.500, 0.500, 0.500) and P at (0.000, 0.500, 0.500).

For the formation energy, the calculation gives 534 meV/atom. The energy above the most stable polymorph in this dataset comes out at 0 meV/atom. As for the total energy: -6.15 eV per atom.

***

Entry 5:
Cs2CaGaI6: relaxed, PBE.

It has space group Fm-3m (No. 225), with a = 12.213 Å, b = 12.213 Å, c = 12.213 Å, α = 90.00°, β = 90.00° and γ = 90.00°. The asymmetric unit holds Cs at (0.250, 0.250, 0.250), Ca at (0.000, 0.000, 0.000), Ga at (0.000, 0.000, 0.500) and I at (0.000, 0.000, 0.256).

As for the total energy: -2.77 eV per atom. The uncorrected formation energy is -1.170 eV per atom.

***

Entry 6:
Ac4PRuSe2: relaxed, PBE.

It has space group P2/m (No. 10), with a = 7.688 Å, b = 4.386 Å, c = 7.855 Å, α = 90.00°, β = 108.00° and γ = 90.00°. The asymmetric unit holds Ac at (0.237, 0.000, 0.226), Ac at (0.244, 0.500, 0.777), P at (0.500, 0.000, 0.000), Ru at (0.000, 0.500, 0.000), Se at (0.000, 0.000, 0.500) and Se at (0.500, 0.500, 0.500).

As for the total energy: -6.09 eV per atom. The uncorrected formation energy is -1.326 eV per atom.

***

Entry 7:
Li5Tl4: relaxed, PBE.

It has space group I4/mmm (No. 139), with a = 10.241 Å, b = 10.241 Å, c = 3.822 Å, α = 90.00°, β = 90.00° and γ = 90.00°. The asymmetric unit holds Li at (0.000, 0.000, 0.000), Li at (0.000, 0.323, 0.000) and Tl at (0.163, 0.163, 0.500).

For the formation energy, the calculation gives -158 meV/atom. The energy above the most stable polymorph in this dataset comes out at 35 meV/atom. As for the total energy: -2.27 eV per atom.

***

Entry 8:
TaTlZn3: relaxed, PBE.

It has space group Pm-3m (No. 221), with a = 5.149 Å, b = 5.149 Å, c = 5.149 Å, α = 90.00°, β = 90.00° and γ = 90.00°. The asymmetric unit holds Ta at (0.000, 0.000, 0.000), Tl at (0.500, 0.500, 0.500) and Zn at (0.000, 0.000, 0.500).

For the formation energy, the calculation gives 939 meV/atom. The energy above the most stable polymorph in this dataset comes out at 0 meV/atom. As for the total energy: -2.67 eV per atom.

***

For reference, DOS(E_F) by record: 10.835, 2.626, 0.113, 6.555, 53.536, 3.608, 6.441, 6.814 states/eV/cell.